# NaPaSN

Crystalline NaPaSN at its relaxed geometry (PBE-GGA, the Alexandria database).

The structure in CIF format:
```
data_NaPaSN
_cell_length_a 3.7501
_cell_length_b 3.7509
_cell_length_c 7.6924
_cell_angle_alpha 104.07
_cell_angle_beta 104.00
_cell_angle_gamma 120.00
_space_group_name_H-M_alt 'P 1'
_space_group_IT_number 1
_space_group_name_Hall 'P 1'
loop_
_atom_site_label
_atom_site_fract_x
_atom_site_fract_y
_atom_site_fract_z
_atom_site_occupancy
Na1 0.0698 0.6085 0.3448 1
Pa1 0.2177 0.4224 0.8229 1
N1 0.4361 0.9739 0.7072 1
S1 0.1543 0.0260 0.0946 1
```

Values from the calculation:
The total energy comes out at -0.525 Ry/atom.